{"formula": "Tb6InGe2", "functional": "PBE-GGA", "state": "optimized geometry", "total_magnetization_mub_per_fu": 0.00, "mass_density_g_cm3": 8.2, "total_energy_ev_per_atom": -4.978, "lattice_angstrom": [[-4.845, 4.848, 5.225], [4.845, -4.848, 5.225], [4.845, 4.848, -5.225]], "species": ["Tb", "Tb", "Tb", "Tb", "Tb", "Tb", "Tb", "Tb", "Tb", "Tb", "Tb", "Tb", "In", "In", "Ge", "Ge", "Ge", "Ge"], "frac_coords": [[0.046, 0.248, 0.799], [0.182, 0.277, 0.459], [0.182, 0.723, 0.906], [0.324, 0.027, 0.704], [0.324, 0.620, 0.296], [0.449, 0.248, 0.201], [0.551, 0.752, 0.799], [0.676, 0.380, 0.704], [0.676, 0.973, 0.296], [0.818, 0.277, 0.094], [0.818, 0.723, 0.541], [0.954, 0.752, 0.201], [0.000, 0.000, 0.000], [0.500, 0.500, 0.000], [0.122, 0.622, 0.500], [0.351, 0.000, 0.351], [0.649, 0.000, 0.649], [0.878, 0.378, 0.500]]}

{"formula": "Tb5In2Ge2", "functional": "PBE-GGA", "state": "optimized geometry", "total_magnetization_mub_per_fu": 0.00, "mass_density_g_cm3": 8.1, "total_energy_ev_per_atom": -4.823, "lattice_angstrom": [[7.905, -3.902, 0.000], [7.905, 3.902, 0.000], [0.000, 0.000, 7.818]], "species": ["Tb", "Tb", "Tb", "Tb", "Tb", "Tb", "Tb", "Tb", "Tb", "Tb", "In", "In", "In", "In", "Ge", "Ge", "Ge", "Ge"], "frac_coords": [[0.000, 0.000, 0.000], [0.052, 0.696, 0.675], [0.196, 0.552, 0.175], [0.304, 0.948, 0.675], [0.448, 0.804, 0.175], [0.500, 0.500, 0.500], [0.552, 0.196, 0.825], [0.696, 0.052, 0.325], [0.804, 0.448, 0.825], [0.948, 0.304, 0.325], [0.217, 0.217, 0.000], [0.283, 0.283, 0.500], [0.717, 0.717, 0.500], [0.783, 0.783, 0.000], [0.128, 0.872, 0.369], [0.372, 0.628, 0.869], [0.628, 0.372, 0.131], [0.872, 0.128, 0.631]]}

| no. | energy relative to the elements (meV per atom) |
| --- | --- |
| 1 | -560.8 |
| 2 | -616.3 |